Record 1
Li4MgSiAg2, relaxed, DFT GGA-PBE; uncorrected energy = -2.75 eV per atom
1.0
-1.1267 -3.5942 -2.3094
-1.0721 -2.0740 3.7510
-5.9613 2.1867 -0.4947
Li Ag Mg Si
4 2 1 1
Cartesian
-1.0994 -2.8341 0.7208
-2.1613 -0.4408 1.7406
-4.8994 -0.2066 -1.5145
-2.9807 1.0933 -0.2473
-2.1784 -1.2047 -1.2887
-4.8824 0.5573 1.5148
0.0000 0.0000 0.0000
-4.0801 -1.7408 0.4735

=====

Record 2
Li4MgAgSn2, relaxed, DFT GGA-PBE; uncorrected energy = -2.87 eV per atom
1.0
-0.8492 -3.8876 -2.4888
-1.0817 -2.2925 3.9501
-6.3422 1.8208 -0.6801
Li Ag Sn Mg
4 1 2 1
Cartesian
-1.8660 -1.5300 -1.3990
-0.9655 -3.0901 0.7306
-5.4417 0.2607 1.4495
-3.1711 0.9104 -0.3400
0.0000 0.0000 0.0000
-5.2029 -0.5720 -1.7568
-2.1048 -0.6973 1.8073
-4.1366 -2.1797 0.3906

=====

Record 3
Li4Mg2AgSn, relaxed, DFT GGA-PBE; uncorrected energy = -2.47 eV per atom
1.0
-1.9764 -4.1227 0.7781
4.1928 -1.9102 0.5290
-0.2164 1.3419 6.5601
Ag Mg Li Sn
1 2 4 1
Cartesian
0.0000 0.0000 0.0000
-1.1536 -1.0356 5.4034
2.0454 -0.6389 1.8102
-1.0406 -1.7363 1.9779
1.1082 -3.0164 0.6536
-0.1082 0.6709 3.2800
1.9324 0.0618 5.2358
1.0000 -2.3455 3.9336